Compound: TmSbRh4
Source: the Alexandria database
Functional: GGA-PBE
Structure: relaxed

abc: 4.680 13.926 6.791
angles: 90.00 90.00 90.00
Space group Cmcm (No. 63)
One atom of each set of equivalent atoms:
Tm1 0.000 0.110 0.250 (multiplicity 4)
Sb1 0.000 0.355 0.250 (multiplicity 4)
Rh1 0.000 0.077 0.750 (multiplicity 4)
Rh2 0.000 0.262 0.572 (multiplicity 8)
Rh3 0.000 0.500 0.000 (multiplicity 4)

## Properties
- calculated total energy (eV/cell) = -159.1
- distance to the lowest polymorph of the same formula (eV per atom) = 0.122
- uncorrected formation energy (eV/atom) = -0.298
- volume (Å³/cell) = 442.6

***

Compound: Tm8SbRh2
Source: the Alexandria database
Functional: GGA-PBE
Structure: relaxed

abc: 8.506 12.943 5.495
angles: 90.00 103.96 90.00
Space group Cm (No. 8)
One atom of each set of equivalent atoms:
Tm1 0.000 0.000 0.000 (multiplicity 2)
Tm2 0.096 0.371 0.791 (multiplicity 4)
Tm3 0.187 0.129 0.612 (multiplicity 4)
Tm4 0.282 0.500 0.401 (multiplicity 2)
Tm5 0.392 0.246 0.201 (multiplicity 4)
Sb1 0.391 0.000 0.194 (multiplicity 2)
Rh1 0.391 0.307 0.701 (multiplicity 4)

## Properties
- calculated total energy (eV/cell) = -120.0
- uncorrected formation energy (eV/atom) = -0.490
- volume (Å³/cell) = 587.0

***

Compound: TmSbRh
Source: the Alexandria database
Functional: GGA-PBE
Structure: relaxed

abc: 3.783 3.783 9.153
angles: 90.00 90.00 90.00
Space group I4mm (No. 107)
One atom of each set of equivalent atoms:
Tm1 0.000 0.000 0.000 (multiplicity 2)
Sb1 0.000 0.000 0.680 (multiplicity 2)
Rh1 0.000 0.000 0.377 (multiplicity 2)

## Properties
- calculated total energy (eV/cell) = -35.3
- uncorrected formation energy (eV/atom) = -0.574
- volume (Å³/cell) = 131.0

***

Compound: TmSbRh4
Source: the Alexandria database
Functional: GGA-PBE
Structure: relaxed

abc: 9.547 3.696 6.038
angles: 90.00 108.85 90.00
Space group C2/m (No. 12)
One atom of each set of equivalent atoms:
Tm1 0.000 0.000 0.000 (multiplicity 2)
Sb1 0.000 0.000 0.500 (multiplicity 2)
Rh1 0.158 0.500 0.345 (multiplicity 4)
Rh2 0.168 0.500 0.814 (multiplicity 4)

## Properties
- calculated total energy (eV/cell) = -80.9
- distance to the lowest polymorph of the same formula (eV per atom) = 0.009
- uncorrected formation energy (eV/atom) = -0.410
- volume (Å³/cell) = 201.6